# 1
A plane-wave DFT calculation with GGA-PBE was carried out for a relaxed structure of BaBeSi2.

Calculated values
**Mass density**: 3.74 g/cm³
**Fermi-level density of states**: 1.3 states/eV per cell
**Total moment**: 0.00 μB/cell
**DFT total energy**: -16.7 eV per cell

Cell and atoms, written as extended XYZ:
```
4
Lattice="-2.7221 -0.2789 -2.6741 -2.8234 -1.4834 3.0288 -2.3776 4.5701 1.9437" Properties=species:S:1:pos:R:3 pbc="T T T"
Si -3.0475 2.1396 2.8791
Si -4.7540 2.4904 4.5796
Be -5.2618 2.1756 2.3923
Ba -2.6613 0.6322 -0.0939
```

# 2
A plane-wave DFT calculation with GGA-PBE was carried out for a relaxed structure of BaBeSi2.

Calculated values
**Mass density**: 4.15 g/cm³
**Fermi-level density of states**: 1.3 states/eV per cell
**Total moment**: 0.00 μB/cell
**DFT total energy**: -15.7 eV per cell

Cell and atoms, written as extended XYZ:
```
4
Lattice="-1.3807 2.9404 0.0991 -0.7630 -0.4744 3.4432 6.1631 2.8347 1.7563" Properties=species:S:1:pos:R:3 pbc="T T T"
Si 3.6180 1.6641 1.0311
Si 5.6265 2.5880 1.6034
Be 3.5504 3.3591 3.0884
Ba 0.4689 1.9417 2.2102
```

# 3
A plane-wave DFT calculation with GGA-PBE was carried out for a relaxed structure of BaBeSi4.

Calculated values
**Mass density**: 3.76 g/cm³
**Fermi-level density of states**: 2.9 states/eV per cell
**Total moment**: 0.00 μB/cell
**DFT total energy**: -24.5 eV per cell

Cell and atoms, written as extended XYZ:
```
6
Lattice="0.0000 3.8524 3.8524 3.8524 0.0000 3.8524 3.8524 3.8524 0.0000" Properties=species:S:1:pos:R:3 pbc="T T T"
Si 2.8600 4.8448 4.8448
Si 2.8600 2.8600 2.8600
Si 4.8448 2.8600 4.8448
Si 4.8448 4.8448 2.8600
Be 0.0000 0.0000 0.0000
Ba 5.7786 5.7786 5.7786
```

# 4
A plane-wave DFT calculation with GGA-PBE was carried out for a relaxed structure of BaBeSi.

Calculated values
**Mass density**: 4.14 g/cm³
**Fermi-level density of states**: 2.0 states/eV per cell
**Total moment**: 0.00 μB/cell
**DFT total energy**: -10.0 eV per cell

Cell and atoms, written as extended XYZ:
```
3
Lattice="-1.9146 5.5002 -2.8332 -3.9971 4.8328 -0.1119 1.9554 2.6368 1.1880" Properties=species:S:1:pos:R:3 pbc="T T T"
Be -0.2253 4.7700 0.0424
Si -3.7182 8.1871 -1.7926
Ba 1.9424 2.6494 1.1812
```

# 5
A plane-wave DFT calculation with GGA-PBE was carried out for a relaxed structure of BaBeSi.

Calculated values
**Mass density**: 4.28 g/cm³
**Fermi-level density of states**: 2.2 states/eV per cell
**Total moment**: 0.00 μB/cell
**DFT total energy**: -10.0 eV per cell

Cell and atoms, written as extended XYZ:
```
3
Lattice="6.3277 -0.0126 0.0000 4.5101 4.4383 0.0000 -5.4189 -2.2129 2.4039" Properties=species:S:1:pos:R:3 pbc="T T T"
Be 3.0141 1.2309 0.0000
Si 7.8117 3.1900 0.0000
Ba 0.0122 0.0050 0.0000
```

# 6
A plane-wave DFT calculation with GGA-PBE was carried out for a relaxed structure of Ba2BeSi2.

Calculated values
**Mass density**: 4.40 g/cm³
**Fermi-level density of states**: 6.8 states/eV per cell
**Total moment**: 0.00 μB/cell
**DFT total energy**: -35.5 eV per cell

Cell and atoms, written as extended XYZ:
```
10
Lattice="-6.4483 2.4938 0.0520 -0.8205 -1.9846 -6.5720 -1.8279 -4.7612 1.6660" Properties=species:S:1:pos:R:3 pbc="T T T"
Si -6.1435 0.9325 -4.0757
Si -3.1211 -0.8024 -5.7175
Si -1.1253 -0.4232 -2.4443
Si -4.1478 1.3116 -0.8024
Ba -5.9550 -2.3253 -4.5403
Ba -6.4856 -0.9692 -1.2467
Ba -2.6111 -3.2827 -3.6074
Ba -3.1417 -1.9265 -0.3138
Be -3.6344 0.2546 -3.2600
Be 0.0000 0.0000 0.0000
```

# 7
A plane-wave DFT calculation with GGA-PBE was carried out for a relaxed structure of BaBeSi2.

Calculated values
**Mass density**: 3.79 g/cm³
**Fermi-level density of states**: 1.2 states/eV per cell
**Total moment**: 0.00 μB/cell
**DFT total energy**: -13.9 eV per cell

Cell and atoms, written as extended XYZ:
```
4
Lattice="4.4213 0.0000 0.0000 0.0000 4.4193 0.0000 0.0000 0.0000 4.5412" Properties=species:S:1:pos:R:3 pbc="T T T"
Si 2.2106 2.2096 0.0000
Si 0.0000 0.0000 0.0000
Ba 2.2106 0.0000 2.2706
Be 0.0000 2.2096 2.2706
```

# 8
A plane-wave DFT calculation with GGA-PBE was carried out for a relaxed structure of BaBeSi2.

Calculated values
**Mass density**: 4.14 g/cm³
**Fermi-level density of states**: 2.4 states/eV per cell
**Total moment**: 0.00 μB/cell
**DFT total energy**: -15.5 eV per cell

Cell and atoms, written as extended XYZ:
```
4
Lattice="-2.1225 -2.1991 -1.5075 2.6386 -1.4611 -1.5863 0.7751 -4.4269 5.3668" Properties=species:S:1:pos:R:3 pbc="T T T"
Be 0.9145 -5.5795 2.9984
Ba 0.3907 -2.2318 2.7056
Si 0.7666 -4.3782 5.3077
Si 0.3820 -2.5381 -0.6886
```